(1)
VASP calculation (GGA-PBE) on K3HoU3S8 after structural relaxation.

Results
Space group = R-3m

Lattice parameters (Å, degrees): 8.825 8.825 8.825 54.16 54.16 54.16
Fractional coordinates of all 15 atoms:
K1 0.000 0.500 0.500
K2 0.500 0.000 0.500
K3 0.500 0.500 0.000
Ho1 0.500 0.500 0.500
U1 0.000 0.000 0.500
U2 0.000 0.500 0.000
U3 0.500 0.000 0.000
S1 0.233 0.732 0.732
S2 0.234 0.234 0.234
S3 0.268 0.268 0.767
S4 0.268 0.767 0.268
S5 0.732 0.233 0.732
S6 0.732 0.732 0.233
S7 0.766 0.766 0.766
S8 0.767 0.268 0.268

***

(2)
VASP calculation (GGA-PBE) on K4HoU3S8 after structural relaxation.

Results
Space group = R-3m

Lattice parameters (Å, degrees): 8.768 8.768 8.768 54.85 54.85 54.85
Fractional coordinates of all 16 atoms:
K1 0.000 0.000 0.000
K2 0.000 0.500 0.500
K3 0.500 0.000 0.500
K4 0.500 0.500 0.000
Ho1 0.500 0.500 0.500
U1 0.000 0.000 0.500
U2 0.000 0.500 0.000
U3 0.500 0.000 0.000
S1 0.235 0.235 0.235
S2 0.237 0.734 0.734
S3 0.266 0.266 0.763
S4 0.266 0.763 0.266
S5 0.734 0.237 0.734
S6 0.734 0.734 0.237
S7 0.763 0.266 0.266
S8 0.765 0.765 0.765

***

(3)
VASP calculation (GGA-PBE) on K2Ho2US6 after structural relaxation.

Results
Space group = C2/m

Lattice parameters (Å, degrees): 6.937 6.937 7.877 98.52 98.52 119.99
Fractional coordinates of all 11 atoms:
K1 0.169 0.831 0.000
K2 0.831 0.169 0.000
Ho1 0.334 0.666 0.500
Ho2 0.666 0.334 0.500
U1 0.000 0.000 0.500
S1 0.063 0.395 0.695
S2 0.262 0.262 0.306
S3 0.395 0.063 0.695
S4 0.605 0.937 0.305
S5 0.738 0.738 0.694
S6 0.937 0.605 0.305

***

(4)
VASP calculation (GGA-PBE) on K2HoVS4 after structural relaxation.

Results
Space group = I-4

Lattice parameters (Å, degrees): 6.930 6.930 6.930 118.26 118.26 93.05
Fractional coordinates of all 8 atoms:
K1 0.000 0.000 0.000
K2 0.750 0.250 0.500
Ho1 0.250 0.750 0.500
V1 0.500 0.500 0.000
S1 0.217 0.615 0.064
S2 0.385 0.448 0.601
S3 0.552 0.153 0.936
S4 0.847 0.783 0.399

***

(5)
VASP calculation (GGA-PBE) on KYHo4S8 after structural relaxation.

Results
Space group = R3m

Lattice parameters (Å, degrees): 8.201 8.201 8.201 59.82 59.82 59.82
Fractional coordinates of all 14 atoms:
K1 0.000 0.000 0.000
Y1 0.631 0.631 0.631
Ho1 0.112 0.630 0.630
Ho2 0.251 0.251 0.251
Ho3 0.630 0.112 0.630
Ho4 0.630 0.630 0.112
S1 0.383 0.383 0.383
S2 0.383 0.383 0.854
S3 0.383 0.854 0.383
S4 0.425 0.861 0.861
S5 0.854 0.383 0.383
S6 0.859 0.859 0.859
S7 0.861 0.425 0.861
S8 0.861 0.861 0.425

***

(6)
VASP calculation (GGA-PBE) on K3Y2HoS6 after structural relaxation.

Results
Space group = C2/m

Lattice parameters (Å, degrees): 7.013 7.013 7.734 98.69 98.69 120.00
Fractional coordinates of all 12 atoms:
K1 0.000 0.000 0.000
K2 0.333 0.667 0.000
K3 0.667 0.333 0.000
Y1 0.167 0.833 0.500
Y2 0.833 0.167 0.500
Ho1 0.500 0.500 0.500
S1 0.101 0.433 0.298
S2 0.235 0.235 0.702
S3 0.433 0.101 0.298
S4 0.567 0.899 0.702
S5 0.765 0.765 0.298
S6 0.899 0.567 0.702

***

(7)
VASP calculation (GGA-PBE) on K3YHo2S6 after structural relaxation.

Results
Space group = C2/m

Lattice parameters (Å, degrees): 7.000 7.000 7.728 98.68 98.68 120.00
Fractional coordinates of all 12 atoms:
K1 0.000 0.000 0.000
K2 0.333 0.667 0.000
K3 0.667 0.333 0.000
Y1 0.500 0.500 0.500
Ho1 0.167 0.833 0.500
Ho2 0.833 0.167 0.500
S1 0.098 0.433 0.299
S2 0.232 0.232 0.701
S3 0.433 0.098 0.299
S4 0.567 0.902 0.701
S5 0.768 0.768 0.299
S6 0.902 0.567 0.701

***

(8)
VASP calculation (GGA-PBE) on KHoZnS3 after structural relaxation.

Results
Space group = P2_1/m

Lattice parameters (Å, degrees): 8.735 3.977 9.492 90.00 107.60 90.00
Fractional coordinates of all 12 atoms:
K1 0.205 0.250 0.229
K2 0.795 0.750 0.771
Ho1 0.332 0.750 0.858
Ho2 0.668 0.250 0.142
Zn1 0.084 0.250 0.607
Zn2 0.916 0.750 0.393
S1 0.114 0.250 0.857
S2 0.199 0.750 0.537
S3 0.460 0.750 0.154
S4 0.540 0.250 0.846
S5 0.801 0.250 0.463
S6 0.886 0.750 0.143

***

Across the entries above, uncorrected energy takes the values -0.4789 -0.4586 -0.4454 -0.3913 -0.4514 -0.4181 -0.4065 -0.3463 Ry/atom, respectively.
Across the entries above, raw formation energy takes the values -1.53 -1.50 -1.75 -1.27 -1.93 -1.89 -1.89 -1.49 eV per atom, respectively.